MgMn2FeO4 PBE+U optimized geometry; VASP energy = -7.065 eV/atom; symmetry = P-1 (2); magnetic moment = 28.00 μB per cell
1.0
-2.099 5.819 -0.807
-3.654 -1.967 -4.655
-0.415 -2.718 5.619
Mg Mn Fe O
2 4 2 8
direct
0.000 0.500 0.000
0.000 0.500 0.500
0.500 0.000 0.000
0.500 0.000 0.500
0.000 0.000 0.500
0.500 0.500 0.000
0.500 0.500 0.500
0.000 0.000 0.000
0.242 0.738 0.989
0.753 0.268 0.511
0.247 0.732 0.489
0.758 0.262 0.011
0.765 0.754 0.002
0.756 0.745 0.498
0.244 0.255 0.502
0.235 0.246 0.998